[1]
An optimized crystal structure of BeCo2Rh, computed with PBEsol.

Magnetization: 2.74 μB per formula unit
Energy of formation from the pure elements: 5 kJ/mol of atoms
Crystal system: trigonal
Volume: 42.9 Å³/f.u.

Cell lengths 2.5338, 2.5338, 23.1463 Å; angles 90.00, 90.00, 120.00 degrees
Space group R-3m (No. 166, hexagonal axes)
Symmetry-distinct sites (fractional):
1 Be 0.0000 0.0000 0.0000
2 Co 0.0000 0.0000 0.2571
3 Rh 0.0000 0.0000 0.5000

---

[2]
An optimized crystal structure of Be2CoRh, computed with PBEsol.

Magnetization: 0.66 μB per formula unit
Energy of formation from the pure elements: -43 kJ/mol of atoms
Crystal system: tetragonal
Volume: 38.1 Å³/f.u.

Cell lengths 3.752, 3.752, 2.703 Å; angles 90.00, 90.00, 90.00 degrees
Space group P4/mmm (No. 123)
Symmetry-distinct sites (fractional):
1 Be 0.000 0.500 0.000
2 Co 0.000 0.000 0.500
3 Rh 0.500 0.500 0.500

---

[3]
An optimized crystal structure of BeCoRh2, computed with PBEsol.

Magnetization: 0.00 μB per formula unit
Energy of formation from the pure elements: -11 kJ/mol of atoms
Crystal system: tetragonal
Volume: 45.6 Å³/f.u.

Cell lengths 3.509, 3.509, 7.402 Å; angles 90.00, 90.00, 90.00 degrees
Space group I-4m2 (No. 119)
Symmetry-distinct sites (fractional):
1 Be 0.000 0.000 0.000
2 Co 0.000 0.500 0.250
3 Rh 0.000 0.000 0.500
4 Rh 0.000 0.500 0.750

---

[4]
An optimized crystal structure of BeCoRh2, computed with PBEsol.

Magnetization: 2.49 μB per formula unit
Energy of formation from the pure elements: 1 kJ/mol of atoms
Crystal system: orthorhombic
Volume: 47.3 Å³/f.u.

Cell lengths 2.754, 4.385, 7.828 Å; angles 90.00, 90.00, 90.00 degrees
Space group Cmmm (No. 65)
Symmetry-distinct sites (fractional):
1 Be 0.000 0.000 0.000
2 Co 0.000 0.000 0.500
3 Rh 0.000 0.500 0.230